Entry from Alexandria: a geometry-optimized KP2WF structure (PBE+U).

Computed properties:
raw total energy: -17.77 eV for the cell shown

a = 5.101 Å, b = 5.101 Å, c = 4.169 Å
α = 90.00°, β = 90.00°, γ = 90.00°
Space group P4/mmm (No. 123)
Inequivalent atoms, fractional coordinates:
1 K 0.000 0.000 0.000 (multiplicity 1)
2 P 0.000 0.500 0.500 (multiplicity 2)
3 W 0.500 0.500 0.000 (multiplicity 1)
4 F 0.500 0.500 0.500 (multiplicity 1)